(1)
Material: Mg2ZrMn
Method: DFT, PBE
State: relaxed

Output
Crystal system: cubic
Fermi-level density of states, states/eV/f.u.: 7.4
Formation enthalpy at 0 K, meV per atom: 523

abc: 6.6010 6.6010 6.6010
angles: 90.00 90.00 90.00
Sites, in units of the cell vectors:
1 Mg 0.2500 0.2500 0.2500
2 Mg 0.2500 0.2500 0.7500
3 Mg 0.2500 0.7500 0.2500
4 Mg 0.2500 0.7500 0.7500
5 Mg 0.7500 0.2500 0.2500
6 Mg 0.7500 0.2500 0.7500
7 Mg 0.7500 0.7500 0.2500
8 Mg 0.7500 0.7500 0.7500
9 Zr 0.0000 0.0000 0.0000
10 Zr 0.0000 0.5000 0.5000
11 Zr 0.5000 0.0000 0.5000
12 Zr 0.5000 0.5000 0.0000
13 Mn 0.0000 0.0000 0.5000
14 Mn 0.0000 0.5000 0.0000
15 Mn 0.5000 0.0000 0.0000
16 Mn 0.5000 0.5000 0.5000

---

(2)
Material: TaTeRu2
Method: DFT, PBE
State: relaxed

Output
Crystal system: monoclinic
Fermi-level density of states, states/eV/f.u.: 1.9
E_form (uncorrected), eV per formula unit: 0.53

abc: 3.1446 4.0828 5.3891
angles: 90.00 90.00 90.00
Sites, in units of the cell vectors:
1 Ta 0.0000 0.0000 0.0000
2 Te 0.4973 0.5000 0.6604
3 Ru 0.4952 0.5000 0.1624
4 Ru 0.9967 0.0000 0.4957

---

(3)
Material: Sr2TeRuN
Method: DFT, PBE
State: relaxed

Output
Crystal system: tetragonal
Fermi-level density of states, states/eV/f.u.: 2.6
E_form (uncorrected), eV per formula unit: -3.68

abc: 5.5502 5.5502 3.8773
angles: 90.00 90.00 90.00
Sites, in units of the cell vectors:
1 Sr 0.0000 0.5000 0.0000
2 Sr 0.5000 0.0000 0.0000
3 Te 0.0000 0.0000 0.5000
4 Ru 0.5000 0.5000 0.5000
5 N 0.5000 0.5000 0.0000

---

no.,spin magnetization (μB per atom)
1,0.00
2,0.00
3,0.10